(1)
Here is an optimized crystal structure of Ho12TlCo6 from Alexandria. Energies are from PBE.

Values from the calculation:
As for the space group: Im-3, No. 204. The calculation puts the calculated formation energy at -0.250 eV per atom. The density of states at the Fermi level is 13.89 states/eV/cell.

a b c (Å): 8.3213 8.3213 8.3213
angles (deg): 109.47 109.47 109.47
With the nearest neighbours (Å) after each atom.
Sites, in units of the cell vectors:
Ho 0.1088 0.3027 0.8060  3 Co 2.65-2.87
Ho 0.1940 0.4967 0.3027  3 Co 2.65-2.87
Ho 0.1940 0.8912 0.6973  3 Co 2.65-2.87
Ho 0.3027 0.1940 0.4967  3 Co 2.65-2.87
Ho 0.3027 0.8060 0.1088  3 Co 2.65-2.87
Ho 0.4967 0.3027 0.1940  3 Co 2.65-2.87
Ho 0.5033 0.6973 0.8060  3 Co 2.65-2.87
Ho 0.6973 0.1940 0.8912  3 Co 2.65-2.87
Ho 0.6973 0.8060 0.5033  3 Co 2.65-2.87
Ho 0.8060 0.1088 0.3027  3 Co 2.65-2.87
Ho 0.8060 0.5033 0.6973  3 Co 2.65-2.87
Ho 0.8912 0.6973 0.1940  3 Co 2.65-2.87
Tl 0.0000 0.0000 0.0000  12 Ho 3.45
Co 0.1134 0.5000 0.6134  1 Co 2.18
Co 0.3866 0.8866 0.5000  1 Co 2.18
Co 0.5000 0.3866 0.8866  1 Co 2.18
Co 0.5000 0.6134 0.1134  1 Co 2.18
Co 0.6134 0.1134 0.5000  1 Co 2.18
Co 0.8866 0.5000 0.3866  1 Co 2.18

***

(2)
Here is an optimized crystal structure of Nd3Sn2Au7 from Alexandria. Energies are from PBE.

Values from the calculation:
As for the space group: I4/mmm, No. 139. The calculation puts the calculated formation energy at -0.468 eV per atom. The density of states at the Fermi level is 10.46 states/eV/cell.

a b c (Å): 15.1619 15.1619 15.1619
angles (deg): 163.40 163.40 23.55
With the nearest neighbours (Å) after each atom.
Sites, in units of the cell vectors:
Nd 0.0000 0.0000 0.0000  12 Au 3.09-3.11
Nd 0.1725 0.1725 0.0000  1 Au 2.97, 4 Sn 3.30
Nd 0.8275 0.8275 0.0000  1 Au 2.97, 4 Sn 3.30
Sn 0.3660 0.3660 0.0000  5 Au 2.77-2.81
Sn 0.6340 0.6340 0.0000  5 Au 2.77-2.81
Au 0.0746 0.5746 0.5000  2 Sn 2.81, 6 Au 3.09-3.11, 2 Nd 3.11
Au 0.2727 0.2727 0.0000  1 Sn 2.77, 1 Nd 2.97
Au 0.4254 0.9254 0.5000  2 Sn 2.81, 6 Au 3.09-3.11, 2 Nd 3.11
Au 0.5000 0.5000 0.0000  4 Nd 3.09, 8 Au 3.11
Au 0.5746 0.0746 0.5000  2 Sn 2.81, 6 Au 3.09-3.11, 2 Nd 3.11
Au 0.7273 0.7273 0.0000  1 Sn 2.77, 1 Nd 2.97
Au 0.9254 0.4254 0.5000  2 Sn 2.81, 6 Au 3.09-3.11, 2 Nd 3.11

***

(3)
Here is an optimized crystal structure of Ca2ZnBiH from Alexandria. Energies are from PBE.

Values from the calculation:
The uncorrected energy comes out at -2.9459 eV/atom. As for the space group: P4/mmm, No. 123. The density of states at the Fermi level is 0.92 states/eV/cell.

a b c (Å): 5.0313 5.0313 4.3994
angles (deg): 90.00 90.00 90.00
With the nearest neighbours (Å) after each atom.
Sites, in units of the cell vectors:
Ca 0.0000 0.5000 0.0000  2 H 2.52
Ca 0.5000 0.0000 0.0000  2 H 2.52
Zn 0.0000 0.0000 0.5000  2 H 2.20
Bi 0.5000 0.5000 0.5000  8 Ca 3.34, 4 Zn 3.56
H 0.0000 0.0000 0.0000  2 Zn 2.20

***

(4)
Here is an optimized crystal structure of Na2Zn3PdAu12 from Alexandria. Energies are from PBE.

Values from the calculation:
As for the space group: R-3m, No. 166. The calculation puts the calculated formation energy at 0.069 eV per atom. The density of states at the Fermi level is 4.68 states/eV/cell.

a b c (Å): 7.9955 7.9955 7.9955
angles (deg): 63.94 63.94 63.94
With the nearest neighbours (Å) after each atom.
Sites, in units of the cell vectors:
Na 0.1075 0.1075 0.1075  6 Au 2.79-2.87
Na 0.8925 0.8925 0.8925  6 Au 2.79-2.87
Zn 0.0000 0.5000 0.5000  6 Au 2.54-2.55
Zn 0.5000 0.0000 0.5000  6 Au 2.54-2.55
Zn 0.5000 0.5000 0.0000  6 Au 2.54-2.55
Pd 0.5000 0.5000 0.5000  6 Au 2.69
Au 0.1106 0.6450 0.6450  1 Zn 2.54, 1 Pd 2.69
Au 0.1279 0.1279 0.6159  2 Zn 2.55, 1 Na 2.79
Au 0.1279 0.6159 0.1279  2 Zn 2.55, 1 Na 2.79
Au 0.3550 0.3550 0.8894  1 Zn 2.54, 1 Pd 2.69
Au 0.3550 0.8894 0.3550  1 Zn 2.54, 1 Pd 2.69
Au 0.3841 0.8721 0.8721  2 Zn 2.55, 1 Na 2.79
Au 0.6159 0.1279 0.1279  2 Zn 2.55, 1 Na 2.79
Au 0.6450 0.1106 0.6450  1 Zn 2.54, 1 Pd 2.69
Au 0.6450 0.6450 0.1106  1 Zn 2.54, 1 Pd 2.69
Au 0.8721 0.3841 0.8721  2 Zn 2.55, 1 Na 2.79
Au 0.8721 0.8721 0.3841  2 Zn 2.55, 1 Na 2.79
Au 0.8894 0.3550 0.3550  1 Zn 2.54, 1 Pd 2.69